LiHg3MoSe4: optimized geometry, PBE.

abc: 6.2754 6.2754 6.2754
angles: 90.00 90.00 90.00
Space group P-43m (No. 215)
Asymmetric unit:
Li  0.0000  0.0000  0.0000 x1
Hg  0.0000  0.5000  0.5000 x3
Mo  0.5000  0.5000  0.5000 x1
Se  0.2411  0.2411  0.2411 x4

Calculated values
**Uncorrected energy**: -27.434 eV/cell

=====

ErNpAl: optimized geometry, PBE.

abc: 7.0065 7.0065 7.0065
angles: 90.00 90.00 90.00
Space group F-43m (No. 216)
Asymmetric unit:
Er  0.0000  0.0000  0.0000 x4
Np  0.0000  0.0000  0.5000 x4
Al  0.2500  0.2500  0.2500 x4

Calculated values
**Excess energy over the best structure of this formula in the dataset**: 0.000 eV per atom
**Uncorrected energy**: -78.576 eV/cell

=====

TlAsPdO: optimized geometry, PBE.

abc: 4.1368 4.1368 8.8973
angles: 90.00 90.00 90.00
Space group P4/nmm (No. 129, origin choice 2)
Asymmetric unit:
Tl  0.2500  0.2500  0.1203 x2
As  0.2500  0.2500  0.6585 x2
Pd  0.2500  0.7500  0.5000 x2
O  0.2500  0.7500  0.0000 x2

Calculated values
**Excess energy over the best structure of this formula in the dataset**: 0.000 eV per atom
**Uncorrected energy**: -36.392 eV/cell